Entry 1:
Here is a relaxed BaLaH3 crystal from the Alexandria database. Energies are from PBEsol.

The density of states at the Fermi level comes out at 3.5 states/eV/f.u.

Cell: 4.6880 4.6880 4.6880 Å, 90.00 90.00 90.00°
Closest atoms and distances in Å follow each position.
Space group Pm-3m (No. 221)
One atom of each set of equivalent atoms:
Ba: 0.0000 0.0000 0.0000 [1 per cell]  6 H 2.34
La: 0.5000 0.5000 0.5000 [1 per cell]  12 H 3.31
H: 0.0000 0.0000 0.5000 [3 per cell]  2 Ba 2.34


Entry 2:
Here is a relaxed Zr2TeCl crystal from the Alexandria database. Energies are from PBEsol.

Its raw formation energy is -0.476 eV/atom. The energy above the most stable polymorph in this dataset is 308 meV/atom. The density of states at the Fermi level comes out at 3.4 states/eV/f.u.

Cell: 3.3526 5.7778 8.8809 Å, 90.00 90.00 90.00°
Closest atoms and distances in Å follow each position.
Space group Cmmm (No. 65)
One atom of each set of equivalent atoms:
Zr: 0.0000 0.0000 0.2426 [4 per cell]  2 Cl 2.73, 2 Te 2.83
Te: 0.0000 0.5000 0.5000 [2 per cell]  4 Zr 2.83
Cl: 0.0000 0.5000 0.0000 [2 per cell]  4 Zr 2.73


Entry 3:
Here is a relaxed KMoAsO6 crystal from the Alexandria database. Energies are from PBEsol.

Its raw formation energy is -1.729 eV/atom. The density of states at the Fermi level comes out at 0.0 states/eV/f.u.

Cell: 10.7645 6.6626 6.9683 Å, 90.00 90.00 90.00°
Closest atoms and distances in Å follow each position.
Space group Pnma (No. 62)
One atom of each set of equivalent atoms:
K: 0.0000 0.0000 0.0000 [4 per cell]  4 O 2.62-2.76
Mo: 0.1602 0.2500 0.4528 [4 per cell]  2 O 1.70-1.71
As: 0.1537 0.7500 0.5423 [4 per cell]  4 O 1.70-1.73
O: 0.0266 0.7500 0.6878 [4 per cell]  1 As 1.70
O: 0.0894 0.2500 0.6724 [4 per cell]  1 Mo 1.71
O: 0.1488 0.5416 0.3955 [8 per cell]  1 As 1.73
O: 0.1871 0.7500 0.0146 [4 per cell]  1 Mo 1.70
O: 0.2040 0.2500 0.1503 [4 per cell]  1 As 1.71


Entry 4:
Here is a relaxed Ta2ReMo crystal from the Alexandria database. Energies are from PBEsol.

The energy above the most stable polymorph in this dataset is 19 meV/atom. The formation energy is -0.32 eV/atom. The density of states at the Fermi level comes out at 2.1 states/eV/f.u.

Cell: 3.1791 3.1791 6.3712 Å, 90.00 90.00 90.00°
Closest atoms and distances in Å follow each position.
Space group P4/mmm (No. 123)
One atom of each set of equivalent atoms:
Ta: 0.0000 0.0000 0.2494 [2 per cell]  4 Re 2.75, 4 Mo 2.76
Re: 0.5000 0.5000 0.0000 [1 per cell]  8 Ta 2.75
Mo: 0.5000 0.5000 0.5000 [1 per cell]  8 Ta 2.76


What calculated total energy values result from the calculations? In sequence: -0.1227; -0.2354; -0.2657; -0.4729 Ha/atom.